! TmPuAg2 | the Alexandria database | PBE | relaxed; values from VASP
&SYSTEM
  ibrav = 0, nat = 4, ntyp = 3
/
ATOMIC_SPECIES
Tm 168.93 Tm.upf
Pu 244.00 Pu.upf
Ag 107.87 Ag.upf
CELL_PARAMETERS angstrom
0.000 3.641 3.641
3.641 0.000 3.641
3.641 3.641 0.000
ATOMIC_POSITIONS crystal
Tm 0.000 0.000 0.000
Pu 0.500 0.500 0.500
Ag 0.250 0.250 0.250
Ag 0.750 0.750 0.750
! - Formation energy: -0.06 eV per atom
! - Relative energy among the computed polymorphs: 48 meV per atom
! - Final energy: -6.190 eV/atom
! - Fermi-level density of states: 2.9483 states/eV per atom